An optimized crystal structure of KTl2Fe. Source: Alexandria, functional PBE.

Output
Its formation energy from the elements is 0.627 eV/atom. As for the total energy: -2.947 eV per atom. The density of states at the Fermi level comes out at 0.8061 states/eV/atom.

Unit cell a=7.047 b=9.317 c=3.259 alpha=90.00 beta=90.00 gamma=90.00
Space group Cmmm (No. 65)
Inequivalent atoms, fractional coordinates:
K 0.000 0.000 0.000 (multiplicity 2)
Tl 0.250 0.250 0.500 (multiplicity 4)
Fe 0.000 0.500 0.000 (multiplicity 2)